Entry 1:
Entry from Alexandria: an optimized crystal structure of Rb2Li2OsO6 (PBE).

Magnetic moment in μB per cell: 0.00
Crystal system: monoclinic
Final energy in eV for the cell shown: -124.418
Energy relative to the elements, uncorrected in eV/f.u.: -15.47

abc: 5.6611 9.1832 6.8045
angles: 90.00 110.22 90.00
With the nearest neighbours (Å) after each atom.
Space group C2/m (No. 12)
One atom of each set of equivalent atoms:
Rb: 0.0000 0.1755 0.0000  6 O 2.79-2.82
Li: 0.0000 0.3390 0.5000  4 O 2.13-2.20
Os: 0.0000 0.0000 0.5000  6 O 1.88-1.90
O: 0.1947 0.1464 0.6742  1 Os 1.88
O: 0.2272 0.0000 0.3501  1 Os 1.90

=====

Entry 2:
Entry from Alexandria: an optimized crystal structure of Ce2Ag4S5 (PBE).

DOS at the Fermi energy in states/eV per cell: 38.536
Magnetic moment in μB per cell: 5.83
Crystal system: trigonal
Final energy in eV for the cell shown: -157.512
Energy relative to the elements, uncorrected in eV/f.u.: -8.59

abc: 4.1280 4.1280 51.7828
angles: 90.00 90.00 120.00
With the nearest neighbours (Å) after each atom.
Space group R-3m (No. 166, hexagonal axes)
One atom of each set of equivalent atoms:
Ce: 0.0000 0.0000 0.1351  6 S 2.84-2.89
Ag: 0.0000 0.0000 0.3084  3 S 2.43
Ag: 0.0000 0.0000 0.4150  4 S 2.46-2.68
S: 0.0000 0.0000 0.2279  3 Ag 2.68, 3 Ce 2.84
S: 0.0000 0.0000 0.3675  4 Ag 2.43-2.46
S: 0.0000 0.0000 0.5000  6 Ce 2.89